Record 1
First-principles (PBE-GGA) data for a relaxed ZnGa8Pd2 crystal, as listed in Alexandria via LeMat-Bulk.

POSCAR file:
```
ZnGa8Pd2
1.0
5.612 -3.673 0.000
5.612 3.673 0.000
-1.148 0.000 4.967
Zn Ga Pd
1 8 2
direct
0.000 0.000 0.000
0.190 0.604 0.615
0.191 0.191 0.793
0.396 0.810 0.385
0.413 0.413 0.138
0.587 0.587 0.862
0.604 0.190 0.615
0.809 0.809 0.207
0.810 0.396 0.385
0.215 0.215 0.311
0.785 0.785 0.689
```

Summary:
- Total moment: 0.00 Bohr magnetons per cell
- ΔE to the lowest computed polymorph: 54.9 meV per atom
- ρ: 6.8 g/cm³
- SG: C2/m
- Formation energy: -0.18 eV/atom
- Crystal system: monoclinic

Record 2
First-principles (PBE-GGA) data for a relaxed NaDyMg2Br8 crystal, as listed in Alexandria via LeMat-Bulk.

POSCAR file:
```
NaDyMg2Br8
1.0
6.514 0.000 0.000
0.000 8.229 0.000
-0.020 0.000 6.740
Na Dy Mg Br
1 1 2 8
direct
0.000 0.000 0.000
0.000 0.500 0.000
0.500 0.237 0.500
0.500 0.763 0.500
0.234 0.260 0.185
0.234 0.740 0.185
0.284 0.500 0.671
0.289 0.000 0.664
0.711 0.000 0.336
0.716 0.500 0.329
0.766 0.260 0.815
0.766 0.740 0.815
```

Summary:
- Total moment: 0.00 Bohr magnetons per cell
- Formation energy from raw total energies: -1.5662 eV per atom
- ρ: 4.0 g/cm³
- SG: P2/m
- Crystal system: monoclinic

Record 3
First-principles (PBE-GGA) data for a relaxed Gd3Pa crystal, as listed in Alexandria via LeMat-Bulk.

POSCAR file:
```
Gd3Pa
1.0
0.000 3.958 3.958
3.958 0.000 3.958
3.958 3.958 0.000
Gd Pa
3 1
direct
0.000 0.000 0.000
0.250 0.250 0.250
0.750 0.750 0.750
0.500 0.500 0.500
```

Summary:
- Total moment: 10.33 Bohr magnetons per cell
- ΔE to the lowest computed polymorph: 133.1 meV per atom
- ρ: 9.4 g/cm³
- SG: Fm-3m
- Formation energy: 0.36 eV/atom
- Crystal system: cubic

Record 4
First-principles (PBE-GGA) data for a relaxed ReTc2P crystal, as listed in Alexandria via LeMat-Bulk.

POSCAR file:
```
ReTc2P
1.0
-1.860 1.860 4.032
1.860 -1.860 4.032
1.860 1.860 -4.032
Re Tc P
1 2 1
direct
0.000 0.000 0.000
0.250 0.750 0.500
0.750 0.250 0.500
0.500 0.500 0.000
```

Summary:
- Total moment: 0.00 Bohr magnetons per cell
- ρ: 12.3 g/cm³
- SG: I4/mmm
- Formation energy: 0.16 eV/atom
- Crystal system: tetragonal

Record 5
First-principles (PBE-GGA) data for a relaxed Cs2RbPRu crystal, as listed in Alexandria via LeMat-Bulk.

POSCAR file:
```
Cs2RbPRu
1.0
6.795 0.000 0.000
0.000 6.795 0.000
0.000 0.000 4.540
Cs Rb P Ru
2 1 1 1
direct
0.000 0.500 0.000
0.500 0.000 0.000
0.000 0.000 0.500
0.500 0.500 0.500
0.500 0.500 0.000
```

Summary:
- Total moment: 0.56 Bohr magnetons per cell
- ρ: 3.8 g/cm³
- SG: P4/mmm
- Formation energy: 0.30 eV/atom
- Crystal system: tetragonal

Record 6
First-principles (PBE-GGA) data for a relaxed GdHoGaNi crystal, as listed in Alexandria via LeMat-Bulk.

POSCAR file:
```
GdHoGaNi
1.0
0.000 3.500 3.500
3.500 0.000 3.500
3.500 3.500 0.000
Gd Ho Ga Ni
1 1 1 1
direct
0.000 0.000 0.000
0.500 0.500 0.500
0.750 0.750 0.750
0.250 0.250 0.250
```

Summary:
- Total moment: 7.14 Bohr magnetons per cell
- ρ: 8.7 g/cm³
- SG: F-43m
- Formation energy: -0.44 eV/atom
- Crystal system: cubic

Record 7
First-principles (PBE-GGA) data for a relaxed Tm6Co2Cu crystal, as listed in Alexandria via LeMat-Bulk.

POSCAR file:
```
Tm6Co2Cu
1.0
-4.564 4.630 4.823
4.564 -4.630 4.823
4.564 4.630 -4.823
Tm Co Cu
12 4 2
direct
0.051 0.241 0.809
0.178 0.275 0.453
0.178 0.725 0.903
0.326 0.013 0.687
0.326 0.640 0.313
0.432 0.241 0.191
0.568 0.759 0.809
0.674 0.360 0.687
0.674 0.987 0.313
0.822 0.275 0.097
0.822 0.725 0.547
0.949 0.759 0.191
0.116 0.616 0.500
0.334 0.000 0.334
0.666 0.000 0.666
0.884 0.384 0.500
0.000 0.000 0.000
0.500 0.500 0.000
```

Summary:
- Total moment: 0.00 Bohr magnetons per cell
- ρ: 9.7 g/cm³
- SG: Immm
- Formation energy: -0.21 eV/atom
- Crystal system: orthorhombic

Record 8
First-principles (PBE-GGA) data for a relaxed AgPd2Pt2 crystal, as listed in Alexandria via LeMat-Bulk.

POSCAR file:
```
AgPd2Pt2
1.0
7.786 0.000 0.000
0.000 7.786 0.000
0.000 0.000 2.800
Ag Pd Pt
2 4 4
direct
0.000 0.000 0.000
0.500 0.500 0.000
0.177 0.323 0.500
0.323 0.823 0.500
0.677 0.177 0.500
0.823 0.677 0.500
0.123 0.623 0.000
0.377 0.123 0.000
0.623 0.877 0.000
0.877 0.377 0.000
```

Summary:
- Total moment: 0.00 Bohr magnetons per cell
- ΔE to the lowest computed polymorph: 0.0 meV per atom
- ρ: 13.9 g/cm³
- SG: P4/mbm
- Formation energy: 0.10 eV/atom
- Crystal system: tetragonal